No. 1
Compound: Sr2Ca2HIr2
Source: Alexandria
Functional: PBE
Structure: relaxed

a b c (Å): 12.4189 4.4614 7.8233
angles (deg): 90.00 125.98 90.00
With the nearest neighbours (Å) after each atom.
Space group C2/m (No. 12)
Symmetry-distinct sites (fractional):
Sr1 0.0707 0.0000 0.3304 [4 per cell]  4 Ir 3.12-3.37, 2 H 3.12
Ca1 0.2047 0.5000 0.1011 [4 per cell]  1 H 2.17
H1 0.0000 0.5000 0.0000 [2 per cell]  2 Ca 2.17
Ir1 0.1252 0.5000 0.6508 [4 per cell]  1 Ir 2.57

Properties
Total moment = 0.0 Bohr magnetons per cell

No. 2
Compound: Sr2CaH8Ir
Source: Alexandria
Functional: PBE
Structure: relaxed

a b c (Å): 5.1668 5.1668 6.6062
angles (deg): 90.00 90.00 120.00
With the nearest neighbours (Å) after each atom.
Space group P-3m1 (No. 164)
Symmetry-distinct sites (fractional):
Sr1 0.3333 0.6667 0.3028 [2 per cell]  7 H 2.38-2.61
Ca1 0.0000 0.0000 0.0000 [1 per cell]  12 H 2.70-3.01
H1 0.1549 0.3099 0.6490 [6 per cell]  1 Ir 1.70
H2 0.3333 0.6667 0.9425 [2 per cell]  1 Sr 2.38, 3 H 2.51
Ir1 0.0000 0.0000 0.5000 [1 per cell]  6 H 1.70

Properties
Total moment = 0.0 Bohr magnetons per cell

No. 3
Compound: CaThH8Ir2
Source: Alexandria
Functional: PBE
Structure: relaxed

a b c (Å): 4.9165 4.9165 18.6076
angles (deg): 90.00 90.00 120.00
With the nearest neighbours (Å) after each atom.
Space group R-3m (No. 166, hexagonal axes)
Symmetry-distinct sites (fractional):
Ca1 0.0000 0.0000 0.0000 [3 per cell]  14 H 2.42-2.68
Th1 0.0000 0.0000 0.5000 [3 per cell]  6 H 2.51
H1 0.0000 0.0000 0.1303 [6 per cell]  1 Ir 1.67
H2 0.0157 0.5079 0.9422 [18 per cell]  1 Ir 1.70
Ir1 0.0000 0.0000 0.2198 [6 per cell]  4 H 1.67-1.70

Properties
Total moment = 0.0 Bohr magnetons per cell

No. 4
Compound: Ca2TlHIr
Source: Alexandria
Functional: PBE
Structure: relaxed

a b c (Å): 5.0894 5.0894 3.7575
angles (deg): 90.00 90.00 90.00
With the nearest neighbours (Å) after each atom.
Space group P4/mmm (No. 123)
Symmetry-distinct sites (fractional):
Ca1 0.0000 0.5000 0.0000 [2 per cell]  2 H 2.54
Tl1 0.0000 0.0000 0.5000 [1 per cell]  8 Ca 3.16
H1 0.5000 0.5000 0.0000 [1 per cell]  2 Ir 1.88
Ir1 0.5000 0.5000 0.5000 [1 per cell]  2 H 1.88

Properties
Total moment = 0.0 Bohr magnetons per cell

No. 5
Compound: CaTmH6Ir2
Source: Alexandria
Functional: PBE
Structure: relaxed

a b c (Å): 7.6078 9.3047 6.0889
angles (deg): 90.00 108.33 90.00
With the nearest neighbours (Å) after each atom.
Space group C2/c (No. 15)
Symmetry-distinct sites (fractional):
Ca1 0.0000 0.1580 0.2500 [4 per cell]  10 H 2.39-2.56
Tm1 0.0000 0.3990 0.7500 [4 per cell]  8 H 2.18-2.44
H1 0.0710 0.3880 0.1263 [8 per cell]  1 Ir 1.70
H2 0.1863 0.2511 0.6193 [8 per cell]  1 Ir 1.67
H3 0.1915 0.0064 0.0574 [8 per cell]  2 Ir 1.84-2.01
Ir1 0.1962 0.1267 0.8200 [8 per cell]  3 H 1.67-1.84

Properties
Total moment = 0.0 Bohr magnetons per cell

No. 6
Compound: Ca2HIrW
Source: Alexandria
Functional: PBE
Structure: relaxed

a b c (Å): 4.1819 4.1819 4.7035
angles (deg): 90.00 90.00 90.00
With the nearest neighbours (Å) after each atom.
Space group P4/mmm (No. 123)
Symmetry-distinct sites (fractional):
Ca1 0.0000 0.5000 0.0000 [2 per cell]  2 H 2.09
H1 0.0000 0.0000 0.0000 [1 per cell]  4 Ca 2.09
Ir1 0.5000 0.5000 0.5000 [1 per cell]  4 W 2.96, 8 Ca 3.15
W1 0.0000 0.0000 0.5000 [1 per cell]  2 H 2.35

Properties
Total moment = 0.0 Bohr magnetons per cell

No. 7
Compound: CaHIrW2
Source: Alexandria
Functional: PBE
Structure: relaxed

a b c (Å): 5.1377 5.1377 3.2892
angles (deg): 90.00 90.00 90.00
With the nearest neighbours (Å) after each atom.
Space group P4/mmm (No. 123)
Symmetry-distinct sites (fractional):
Ca1 0.0000 0.0000 0.0000 [1 per cell]  8 W 3.05, 2 Ca 3.29
H1 0.5000 0.5000 0.0000 [1 per cell]  2 Ir 1.64
Ir1 0.5000 0.5000 0.5000 [1 per cell]  2 H 1.64
W1 0.0000 0.5000 0.5000 [2 per cell]  2 Ir 2.57

Properties
Total moment = 0.0 Bohr magnetons per cell

No. 8
Compound: CaYH6Ir2
Source: Alexandria
Functional: PBE
Structure: relaxed

a b c (Å): 7.6543 9.4079 6.1016
angles (deg): 90.00 107.71 90.00
With the nearest neighbours (Å) after each atom.
Space group C2/c (No. 15)
Symmetry-distinct sites (fractional):
Ca1 0.0000 0.1569 0.2500 [4 per cell]  10 H 2.40-2.56
Y1 0.0000 0.3984 0.7500 [4 per cell]  8 H 2.22-2.48
H1 0.0745 0.3857 0.1313 [8 per cell]  1 Ir 1.70
H2 0.1878 0.2472 0.6175 [8 per cell]  1 Ir 1.67
H3 0.1895 0.0066 0.0558 [8 per cell]  2 Ir 1.84-2.02
Ir1 0.1950 0.1256 0.8185 [8 per cell]  3 H 1.67-1.84

Properties
Total moment = 0.0 Bohr magnetons per cell

no.,total energy (eV/cell),N(E_F) (states/eV per cell)
1,-60.4,5.28
2,-46.0,3.73
3,-171.1,12.69
4,-20.3,1.24
5,-196.1,15.03
6,-27.0,5.03
7,-33.9,5.71
8,-203.5,14.84